# 1
Pr2InNi2Pd5 after structural relaxation, computed with PBE-GGA.

Magnetic moment (μB/cell): 0.00
Volume (Å³ per cell): 363
Formation energy (meV per atom): -611
SG: P4/mbm (127)

a = 4.050 Å, b = 9.466 Å, c = 9.466 Å
α = 90.00°, β = 90.00°, γ = 90.00°
Positions (direct):
Pr (0.000, 0.672, 0.172)
Pr (0.000, 0.328, 0.828)
Pr (0.000, 0.172, 0.328)
Pr (0.000, 0.828, 0.672)
In (0.000, 0.000, 0.000)
In (0.000, 0.500, 0.500)
Ni (0.000, 0.124, 0.624)
Ni (0.000, 0.876, 0.376)
Ni (0.000, 0.624, 0.876)
Ni (0.000, 0.376, 0.124)
Pd (0.500, 0.208, 0.070)
Pd (0.500, 0.792, 0.930)
Pd (0.500, 0.070, 0.792)
Pd (0.500, 0.708, 0.430)
Pd (0.500, 0.930, 0.208)
Pd (0.500, 0.292, 0.570)
Pd (0.500, 0.570, 0.708)
Pd (0.500, 0.430, 0.292)
Pd (0.500, 0.500, 0.000)
Pd (0.500, 0.000, 0.500)

# 2
BaAg2As after structural relaxation, computed with PBE-GGA.

Magnetic moment (μB/cell): 0.00
Volume (Å³ per cell): 119
Formation energy (meV per atom): -297
SG: P2/m (10)

a = 4.685 Å, b = 4.719 Å, c = 5.393 Å
α = 90.21°, β = 90.00°, γ = 90.00°
Positions (direct):
As (0.500, 0.250, 0.250)
Ba (0.500, 0.750, 0.750)
Ag (0.000, 0.251, 0.999)
Ag (0.000, 0.249, 0.501)

# 3
Rb3TmTl3Br8 after structural relaxation, computed with PBE-GGA.

Magnetic moment (μB/cell): 0.00
Volume (Å³ per cell): 660
SG: R-3m (166)
ΔE_f (raw) (eV/atom): -1.35

a = 9.869 Å, b = 9.871 Å, c = 9.677 Å
α = 120.69°, β = 90.00°, γ = 119.99°
Positions (direct):
Rb (0.000, 0.000, 0.000)
Rb (0.000, 0.500, 0.000)
Rb (0.500, 0.500, 0.000)
Tm (0.000, 0.000, 0.500)
Tl (0.500, 0.000, 0.500)
Tl (0.500, 0.500, 0.500)
Tl (0.000, 0.500, 0.500)
Br (0.253, 0.505, 0.258)
Br (0.747, 0.495, 0.742)
Br (0.798, 0.596, 0.297)
Br (0.202, 0.404, 0.703)
Br (0.798, 0.999, 0.297)
Br (0.202, 0.001, 0.703)
Br (0.201, 0.999, 0.297)
Br (0.799, 0.001, 0.703)

> Which of these has the highest volume?

Rb3TmTl3Br8

What did the third record say?
Rb3TmTl3Br8 after structural relaxation, computed with PBE-GGA.

Magnetic moment (μB/cell): 0.00
Volume (Å³ per cell): 660
SG: R-3m (166)
ΔE_f (raw) (eV/atom): -1.35

a = 9.869 Å, b = 9.871 Å, c = 9.677 Å
α = 120.69°, β = 90.00°, γ = 119.99°
Positions (direct):
Rb (0.000, 0.000, 0.000)
Rb (0.000, 0.500, 0.000)
Rb (0.500, 0.500, 0.000)
Tm (0.000, 0.000, 0.500)
Tl (0.500, 0.000, 0.500)
Tl (0.500, 0.500, 0.500)
Tl (0.000, 0.500, 0.500)
Br (0.253, 0.505, 0.258)
Br (0.747, 0.495, 0.742)
Br (0.798, 0.596, 0.297)
Br (0.202, 0.404, 0.703)
Br (0.798, 0.999, 0.297)
Br (0.202, 0.001, 0.703)
Br (0.201, 0.999, 0.297)
Br (0.799, 0.001, 0.703)